SrNi2Hg | PBE-GGA | optimized geometry

```
SrNi2Hg
1.0
-3.3369 2.1876 0.5740
-1.5535 -1.4337 -3.5666
-2.8345 -4.4998 0.6716
Hg Sr Ni
1 1 2
Direct
0.5000 0.7706 0.8378 Hg
0.0000 0.4728 0.4342 Sr
0.0000 0.1784 0.0062 Ni
0.5000 0.0782 0.2218 Ni
```

## Properties
Magnetization in μB per formula unit: 0.00
Formation energy in meV per atom: 43

Zr2MnTe | PBE-GGA | optimized geometry

```
Zr2MnTe
1.0
-0.7020 -2.9478 -4.7636
-3.3552 -4.5355 0.2153
0.1302 5.5589 0.9775
Te Mn Zr
1 1 2
Direct
0.2759 0.7759 0.5000 Te
0.5010 0.5010 0.0000 Mn
0.9955 0.9955 0.0000 Zr
0.7276 0.2276 0.5000 Zr
```

## Properties
E_form (uncorrected) in eV per atom: -0.21
Magnetization in μB per formula unit: 1.55

Ti2FeS4 | PBE-GGA | optimized geometry

```
Ti2FeS4
1.0
-3.7218 1.7543 -1.7341
1.1804 -1.4897 -4.0403
-4.2143 -5.0675 -1.8300
Ti S Fe
2 4 1
Direct
0.6192 0.6192 0.7616 Ti
0.3808 0.3808 0.2384 Ti
0.0000 0.5000 0.0000 S
0.5000 0.0000 0.0000 S
0.1923 0.1923 0.6153 S
0.8077 0.8077 0.3847 S
0.0000 0.0000 0.0000 Fe
```

## Properties
E_form (uncorrected) in eV per atom: -0.43
Magnetization in μB per formula unit: 0.19
ΔE to the lowest computed polymorph in eV/atom: 0.699

Si2TeAu | PBE-GGA | optimized geometry

```
Si2TeAu
1.0
4.2743 0.0022 0.0534
2.6397 3.3617 0.0534
3.8104 1.8539 6.1950
Si Te Au
2 1 1
Direct
0.4599 0.4599 0.4151 Si
0.0401 0.0401 0.0849 Si
0.7500 0.7500 0.7500 Te
0.2500 0.2500 0.2500 Au
```

## Properties
E_form (uncorrected) in eV per atom: 0.17
Magnetization in μB per formula unit: 0.00

TiTl2AsO6 | PBE-GGA | optimized geometry

```
TiTl2AsO6
1.0
5.7010 0.0000 0.0000
2.8505 4.9372 0.0000
2.8505 1.6457 9.2737
Tl O As Ti
4 12 2 2
Direct
0.1327 0.1327 0.6020 Tl
0.2750 0.2750 0.1750 Tl
0.7250 0.7250 0.8250 Tl
0.8673 0.8673 0.3980 Tl
0.8320 0.3985 0.3710 O
0.1680 0.6015 0.6290 O
0.6015 0.6015 0.6290 O
0.8037 0.8037 0.1139 O
0.1963 0.7213 0.8861 O
0.3985 0.3985 0.3710 O
0.7213 0.1963 0.8861 O
0.3985 0.8320 0.3710 O
0.1963 0.1963 0.8861 O
0.8037 0.2787 0.1139 O
0.2787 0.8037 0.1139 O
0.6015 0.1680 0.6290 O
0.0000 0.0000 0.0000 As
0.5000 0.5000 0.5000 As
0.4007 0.4007 0.7979 Ti
0.5993 0.5993 0.2021 Ti
```

## Properties
E_form (uncorrected) in eV per atom: -1.42
Magnetization in μB per formula unit: 0.00

CsZn2As | PBE-GGA | optimized geometry

```
CsZn2As
1.0
-4.1078 0.9571 3.5519
2.9815 -2.2525 4.0550
2.8522 7.1842 5.6429
Cs Zn As
2 4 2
Direct
0.7500 0.2500 0.5000 Cs
0.0000 0.0000 0.0000 Cs
0.3749 0.6250 0.2500 Zn
0.8750 0.6251 0.7500 Zn
0.3751 0.1250 0.2500 Zn
0.3750 0.6249 0.7500 Zn
0.5000 0.5000 0.0000 As
0.2500 0.7500 0.5000 As
```

## Properties
Magnetization in μB per formula unit: 0.00
Formation energy in meV per atom: -55

InPbW | PBE-GGA | optimized geometry

```
InPbW
1.0
4.7710 0.0000 0.0000
2.3855 4.1318 0.0000
2.3855 1.3773 3.8955
In Pb W
1 1 1
Direct
0.0000 0.0000 0.0000 In
0.5000 0.5000 0.5000 Pb
0.7500 0.7500 0.7500 W
```

## Properties
Magnetization in μB per formula unit: 1.72
ΔE to the lowest computed polymorph in eV/atom: 0.354
Formation energy in meV per atom: 1083

HfFe2CoB | PBE-GGA | optimized geometry

```
HfFe2CoB
1.0
3.8781 0.0000 0.0000
0.0000 3.8781 0.0000
0.0000 0.0000 3.8298
Hf B Co Fe
1 1 1 2
Direct
0.5000 0.5000 0.5000 Hf
0.0000 0.0000 0.0000 B
0.0000 0.0000 0.5000 Co
0.5000 0.0000 0.0000 Fe
0.0000 0.5000 0.0000 Fe
```

## Properties
Magnetization in μB per formula unit: 0.73
Formation energy in meV per atom: -338

SmZnCu | PBE-GGA | optimized geometry

```
SmZnCu
1.0
-4.3040 1.0443 -0.0223
-3.2957 -4.1673 1.1141
-1.9861 1.3205 5.3527
Cu Zn Sm
2 2 2
Direct
0.1589 0.3880 0.2942 Cu
0.8411 0.6120 0.7058 Cu
0.1715 0.7665 0.8906 Zn
0.8285 0.2335 0.1094 Zn
0.4536 0.7962 0.2965 Sm
0.5464 0.2038 0.7035 Sm
```

## Properties
Magnetization in μB per formula unit: 0.00
Formation energy in meV per atom: -297

FeHgAu2 | PBE-GGA | optimized geometry

```
FeHgAu2
1.0
-4.5551 -1.3478 -1.1892
5.5848 -3.9056 -0.9502
0.2529 -2.4452 1.7964
Hg Au Fe
1 2 1
Direct
0.5000 0.0000 0.5000 Hg
0.0000 0.5000 0.5000 Au
0.0000 0.0000 0.0000 Au
0.5000 0.5000 0.0000 Fe
```

## Properties
Magnetization in μB per formula unit: 2.98
Formation energy in meV per atom: 280

Tm2Si3Pd2 | PBE-GGA | optimized geometry

```
Tm2Si3Pd2
1.0
-1.7391 -2.3096 3.0244
3.2990 -2.9681 -3.2637
3.1379 3.3744 4.3813
Si Pd Tm
3 2 2
Direct
0.4015 0.8031 0.5613 Si
0.5985 0.1969 0.4387 Si
0.5000 0.0000 0.0000 Si
0.1437 0.2873 0.2464 Pd
0.8563 0.7127 0.7536 Pd
0.1493 0.2986 0.7780 Tm
0.8507 0.7014 0.2220 Tm
```

## Properties
E_form (uncorrected) in eV per atom: -0.78
Magnetization in μB per formula unit: 0.00
ΔE to the lowest computed polymorph in eV/atom: 0.126

BaAl2Au | PBE-GGA | optimized geometry

```
BaAl2Au
1.0
6.6538 0.0000 0.0000
0.0000 7.2588 0.0000
0.0000 0.0000 16.6492
Au Ba Al
8 8 16
Direct
0.4920 0.2500 0.5713 Au
0.7785 0.7500 0.1892 Au
0.5080 0.7500 0.4287 Au
0.2785 0.2500 0.3108 Au
0.9920 0.7500 0.9287 Au
0.7215 0.7500 0.6892 Au
0.2215 0.2500 0.8108 Au
0.0080 0.2500 0.0713 Au
0.5012 0.2500 0.1303 Ba
0.6893 0.2500 0.8973 Ba
0.4988 0.7500 0.8697 Ba
0.8107 0.2500 0.3973 Ba
0.3107 0.7500 0.1027 Ba
0.0012 0.7500 0.3697 Ba
0.1893 0.7500 0.6027 Ba
0.9988 0.2500 0.6303 Ba
0.1738 0.0644 0.9510 Al
0.6738 0.9356 0.5490 Al
0.6738 0.5644 0.5490 Al
0.9930 0.0627 0.2088 Al
0.0070 0.9373 0.7912 Al
0.8262 0.9356 0.0490 Al
0.4930 0.5627 0.2912 Al
0.4930 0.9373 0.2912 Al
0.5070 0.4373 0.7088 Al
0.3262 0.0644 0.4510 Al
0.9930 0.4373 0.2088 Al
0.5070 0.0627 0.7088 Al
0.1738 0.4356 0.9510 Al
0.0070 0.5627 0.7912 Al
0.8262 0.5644 0.0490 Al
0.3262 0.4356 0.4510 Al
```

## Properties
Magnetization in μB per formula unit: 0.00
Formation energy in meV per atom: -424